VASP calculation (PBE+U) on a relaxed structure of Rb2VBiF6.

The structure in POSCAR format:
```
Rb2VBiF6
1.0
6.948 0.000 0.000
0.000 6.948 0.000
3.474 3.474 4.369
F Bi Rb V
6 1 2 1
Direct
0.265 0.265 0.470
0.735 0.735 0.530
0.301 0.301 0.000
0.699 0.699 0.000
0.699 0.301 0.000
0.301 0.699 0.000
0.000 0.000 0.000
0.750 0.250 0.500
0.250 0.750 0.500
0.500 0.500 0.000
```

Properties
Electronic total energy, eV/cell: -48.4
Total magnetization, μB/cell: 4.00
Calculated density, kg/m3: 4289
SG: No. 139